A plane-wave DFT calculation with PBE-GGA was carried out for a relaxed structure of Sm2DyY6Er.

Computed properties:
VASP energy = -112.501 eV/cell
D(E_F) = 28.736 states/eV per cell
calculated volume = 32.7 A^3/atom
formation energy from the elements = 0.11 eV/atom

Unit cell a=9.7170 b=8.7778 c=8.7778 alpha=117.75 beta=94.79 gamma=94.79
Fractional positions:
Sm: 0.4553 0.8050 0.7040
Sm: 0.0447 0.2960 0.1950
Sm: 0.5447 0.1950 0.2960
Sm: 0.9553 0.7040 0.8050
Dy: 0.2500 0.9800 0.0200
Dy: 0.7500 0.0200 0.9800
Y: 0.0566 0.1234 0.7486
Y: 0.4434 0.2514 0.8766
Y: 0.9434 0.8766 0.2514
Y: 0.5566 0.7486 0.1234
Y: 0.3143 0.9820 0.4263
Y: 0.1857 0.5737 0.0180
Y: 0.6857 0.0180 0.5737
Y: 0.8143 0.4263 0.9820
Y: 0.1184 0.7066 0.4970
Y: 0.3816 0.5030 0.2934
Y: 0.8816 0.2934 0.5030
Y: 0.6184 0.4970 0.7066
Er: 0.2500 0.4072 0.5928
Er: 0.7500 0.5928 0.4072